Density functional theory data (PBE with a Hubbard U) for a relaxed Li3FeP2O8 crystal.

Geometry as POSCAR:
```
Li3FeP2O8
1.0
4.9436 -0.0044 0.0000
-0.3388 6.3828 0.0000
0.0000 0.0000 17.8378
Fe Li P O
4 12 8 32
Direct
0.8067 0.9838 0.1270 Fe
0.1933 0.0162 0.8730 Fe
0.6933 0.5162 0.6270 Fe
0.3067 0.4838 0.3730 Fe
0.3197 0.6853 0.1995 Li
0.2144 0.2160 0.5585 Li
0.7173 0.9970 0.6158 Li
0.7827 0.5030 0.1158 Li
0.7144 0.7160 0.9415 Li
0.7856 0.7840 0.4415 Li
0.2173 0.4970 0.8842 Li
0.8197 0.1853 0.3005 Li
0.6803 0.3147 0.8005 Li
0.2856 0.2840 0.0585 Li
0.2827 0.0030 0.3842 Li
0.1803 0.8147 0.6995 Li
0.6675 0.7910 0.7843 P
0.2827 0.7688 0.0356 P
0.7827 0.2688 0.4644 P
0.8325 0.7090 0.2843 P
0.2173 0.7312 0.5356 P
0.3325 0.2090 0.2157 P
0.7173 0.2312 0.9644 P
0.1675 0.2910 0.7157 P
0.0220 0.1768 0.1989 O
0.8524 0.0353 0.9329 O
0.3604 0.9316 0.5641 O
0.6396 0.0684 0.4359 O
0.2119 0.7232 0.4474 O
0.4780 0.3232 0.6989 O
0.0899 0.2720 0.4398 O
0.9101 0.7280 0.5602 O
0.2881 0.7768 0.9474 O
0.4472 0.4002 0.1731 O
0.6476 0.4647 0.4329 O
0.7119 0.2232 0.0526 O
0.9791 0.5091 0.3082 O
0.1150 0.2683 0.8025 O
0.0528 0.0998 0.6731 O
0.9780 0.8232 0.8011 O
0.9472 0.9002 0.3269 O
0.4101 0.2280 0.9398 O
0.5220 0.6768 0.3011 O
0.8850 0.7317 0.1975 O
0.0209 0.4909 0.6918 O
0.1476 0.9647 0.0671 O
0.6150 0.7683 0.6975 O
0.8604 0.4316 0.9359 O
0.3850 0.2317 0.3025 O
0.5899 0.7720 0.0602 O
0.1396 0.5684 0.0641 O
0.5528 0.5998 0.8269 O
0.4791 0.0091 0.1918 O
0.3524 0.5353 0.5671 O
0.5209 0.9909 0.8082 O
0.7881 0.2768 0.5526 O
```

Values from the calculation:
symmetry: No. 14
total moment: 5.0 μB/f.u.
E above lowest polymorph: 0.41 kcal/mol of atoms